The following is a DFT calculation (PBE-GGA) of crystalline LiCo2HPd at its relaxed geometry.

Lattice parameters (Å, degrees): 3.524 3.524 4.079 90.00 90.00 90.00
Space group P4/mmm (No. 123)
Unique sites:
Li (0.000, 0.000, 0.000) x1
Co (0.000, 0.500, 0.500) x2
H (0.000, 0.000, 0.500) x1
Pd (0.500, 0.500, 0.000) x1

Total magnetization in μB per cell: 3.11
E in eV per atom: -4.951
Polymorph energy (0 for the lowest one) in eV/f.u.: 0.00